--- i ---
! ScTi3Os GGA-PBE relaxed; values from VASP
! **Space group**: No. 221
&SYSTEM
  ibrav = 0, nat = 5, ntyp = 3
/
ATOMIC_SPECIES
Sc 44.96 Sc.upf
Ti 47.87 Ti.upf
Os 190.23 Os.upf
CELL_PARAMETERS angstrom
4.4483 0.0000 0.0000
0.0000 4.4483 0.0000
0.0000 0.0000 4.4483
ATOMIC_POSITIONS angstrom
Sc 0.0000 0.0000 0.0000
Ti 0.0000 0.0000 2.2241
Ti 0.0000 2.2241 0.0000
Ti 2.2241 0.0000 0.0000
Os 2.2241 2.2241 2.2241

***

--- ii ---
! ScTi3Os GGA-PBE relaxed; values from VASP
! **Space group**: No. 221
&SYSTEM
  ibrav = 0, nat = 5, ntyp = 3
/
ATOMIC_SPECIES
Sc 44.96 Sc.upf
Ti 47.87 Ti.upf
Os 190.23 Os.upf
CELL_PARAMETERS angstrom
4.7649 0.0000 0.0000
0.0000 4.7649 0.0000
0.0000 0.0000 4.7649
ATOMIC_POSITIONS angstrom
Sc 0.0000 0.0000 0.0000
Ti 0.0000 2.3824 2.3824
Ti 2.3824 0.0000 2.3824
Ti 2.3824 2.3824 0.0000
Os 2.3824 2.3824 2.3824

***

Most stable: ii

***

--- i ---
! Sc4TlOs GGA-PBE relaxed; values from VASP
! **Space group**: No. 15
&SYSTEM
  ibrav = 0, nat = 12, ntyp = 3
/
ATOMIC_SPECIES
Sc 44.96 Sc.upf
Tl 204.38 Tl.upf
Os 190.23 Os.upf
CELL_PARAMETERS angstrom
4.1263 -6.1442 0.0000
4.1263 6.1442 0.0000
-1.7300 0.0000 5.5343
ATOMIC_POSITIONS angstrom
Sc 1.5866 4.0709 5.2626
Sc 1.1992 0.9392 3.3969
Sc 4.0709 4.0709 3.0389
Sc 2.0642 -0.9392 0.6298
Sc 4.4584 0.9392 4.9046
Sc 2.4516 -4.0709 2.4954
Sc 5.3234 -0.9392 2.1374
Sc 4.9359 -4.0709 0.2717
Tl 3.6938 1.5663 1.3836
Tl 2.8288 -1.5663 4.1508
Os 2.8288 6.1343 4.1508
Os 3.6938 -6.1343 1.3836

***

--- ii ---
! Sc4TlOs GGA-PBE relaxed; values from VASP
! **Space group**: No. 166
&SYSTEM
  ibrav = 0, nat = 6, ntyp = 3
/
ATOMIC_SPECIES
Sc 44.96 Sc.upf
Tl 204.38 Tl.upf
Os 190.23 Os.upf
CELL_PARAMETERS angstrom
2.3479 1.3555 7.6629
-2.3479 1.3555 7.6629
0.0000 -2.7111 7.6629
ATOMIC_POSITIONS angstrom
Sc 0.0000 0.0000 2.5965
Sc 0.0000 0.0000 8.3996
Sc 0.0000 0.0000 14.5892
Sc 0.0000 0.0000 20.3922
Tl 0.0000 0.0000 11.4944
Os 0.0000 0.0000 0.0000

***

--- iii ---
! Sc4TlOs GGA-PBE relaxed; values from VASP
! **Space group**: No. 216
&SYSTEM
  ibrav = 0, nat = 6, ntyp = 3
/
ATOMIC_SPECIES
Sc 44.96 Sc.upf
Tl 204.38 Tl.upf
Os 190.23 Os.upf
CELL_PARAMETERS angstrom
0.0000 3.9391 3.9391
3.9391 0.0000 3.9391
3.9391 3.9391 0.0000
ATOMIC_POSITIONS angstrom
Sc 2.9738 2.9738 2.9738
Sc 4.9044 4.9044 2.9738
Sc 4.9044 2.9738 4.9044
Sc 2.9738 4.9044 4.9044
Tl 0.0000 0.0000 0.0000
Os 5.9087 5.9087 5.9087

***

Most stable: i

***

--- i ---
! YScTlOs GGA-PBE relaxed; values from VASP
! **Space group**: No. 99
&SYSTEM
  ibrav = 0, nat = 4, ntyp = 4
/
ATOMIC_SPECIES
Y 88.91 Y.upf
Sc 44.96 Sc.upf
Tl 204.38 Tl.upf
Os 190.23 Os.upf
CELL_PARAMETERS angstrom
3.3152 0.0000 0.0000
0.0000 3.3152 0.0000
0.0000 0.0000 8.0942
ATOMIC_POSITIONS angstrom
Y 0.0000 0.0000 0.0000
Sc 0.0000 0.0000 4.8554
Tl 1.6576 1.6576 2.5619
Os 1.6576 1.6576 6.3177

***

--- ii ---
! YScTlOs GGA-PBE relaxed; values from VASP
! **Space group**: No. 216
&SYSTEM
  ibrav = 0, nat = 4, ntyp = 4
/
ATOMIC_SPECIES
Y 88.91 Y.upf
Sc 44.96 Sc.upf
Tl 204.38 Tl.upf
Os 190.23 Os.upf
CELL_PARAMETERS angstrom
0.0000 3.4931 3.4931
3.4931 0.0000 3.4931
3.4931 3.4931 0.0000
ATOMIC_POSITIONS angstrom
Y 0.0000 0.0000 0.0000
Sc 3.4931 3.4931 3.4931
Tl 1.7465 1.7465 1.7465
Os 5.2396 5.2396 5.2396

***

Most stable: i

***

--- i ---
! TmSc2Os GGA-PBE relaxed; values from VASP
! **Space group**: No. 62
&SYSTEM
  ibrav = 0, nat = 16, ntyp = 3
/
ATOMIC_SPECIES
Tm 168.93 Tm.upf
Sc 44.96 Sc.upf
Os 190.23 Os.upf
CELL_PARAMETERS angstrom
7.2900 0.0000 0.0000
0.0000 8.4407 0.0000
0.0000 0.0000 5.8800
ATOMIC_POSITIONS angstrom
Tm 0.2457 2.1102 0.6909
Tm 3.3993 6.3305 3.6309
Tm 3.8907 2.1102 2.2491
Tm 7.0443 6.3305 5.1891
Sc 1.2566 0.5214 3.8336
Sc 1.2566 3.6989 3.8336
Sc 2.3884 4.7418 0.8936
Sc 2.3884 7.9193 0.8936
Sc 4.9016 0.5214 4.9864
Sc 4.9016 3.6989 4.9864
Sc 6.0334 4.7418 2.0464
Sc 6.0334 7.9193 2.0464
Os 0.8689 6.3305 2.5722
Os 2.7761 2.1102 5.5121
Os 4.5139 6.3305 0.3678
Os 6.4211 2.1102 3.3078

***

--- ii ---
! TmSc2Os GGA-PBE relaxed; values from VASP
! **Space group**: No. 123
&SYSTEM
  ibrav = 0, nat = 4, ntyp = 3
/
ATOMIC_SPECIES
Tm 168.93 Tm.upf
Sc 44.96 Sc.upf
Os 190.23 Os.upf
CELL_PARAMETERS angstrom
3.2501 0.0000 0.0000
0.0000 3.2501 0.0000
0.0000 0.0000 8.4433
ATOMIC_POSITIONS angstrom
Tm 0.0000 0.0000 0.0000
Sc 1.6250 1.6250 2.6827
Sc 1.6250 1.6250 5.7606
Os 0.0000 0.0000 4.2216

***

Most stable: i

***

--- i ---
! Sc3VOs GGA-PBE relaxed; values from VASP
! **Space group**: No. 221
&SYSTEM
  ibrav = 0, nat = 5, ntyp = 3
/
ATOMIC_SPECIES
Sc 44.96 Sc.upf
V 50.94 V.upf
Os 190.23 Os.upf
CELL_PARAMETERS angstrom
4.6248 0.0000 0.0000
0.0000 4.6248 0.0000
0.0000 0.0000 4.6248
ATOMIC_POSITIONS angstrom
Sc 0.0000 0.0000 2.3124
Sc 0.0000 2.3124 0.0000
Sc 2.3124 0.0000 0.0000
V 0.0000 0.0000 0.0000
Os 2.3124 2.3124 2.3124

***

--- ii ---
! Sc3VOs GGA-PBE relaxed; values from VASP
! **Space group**: No. 221
&SYSTEM
  ibrav = 0, nat = 5, ntyp = 3
/
ATOMIC_SPECIES
Sc 44.96 Sc.upf
V 50.94 V.upf
Os 190.23 Os.upf
CELL_PARAMETERS angstrom
5.0045 0.0000 0.0000
0.0000 5.0045 0.0000
0.0000 0.0000 5.0045
ATOMIC_POSITIONS angstrom
Sc 0.0000 0.0000 2.5023
Sc 0.0000 2.5023 0.0000
Sc 2.5023 0.0000 0.0000
V 2.5023 2.5023 2.5023
Os 0.0000 0.0000 0.0000

***

Most stable: ii

***

--- i ---
! ScV2Os GGA-PBE relaxed; values from VASP
! **Space group**: No. 122
&SYSTEM
  ibrav = 0, nat = 8, ntyp = 3
/
ATOMIC_SPECIES
Sc 44.96 Sc.upf
V 50.94 V.upf
Os 190.23 Os.upf
CELL_PARAMETERS angstrom
-3.5837 3.5837 2.6884
3.5837 -3.5837 2.6884
3.5837 3.5837 -2.6884
ATOMIC_POSITIONS angstrom
Sc 0.0000 0.0000 0.0000
Sc 0.0000 3.5837 1.3442
V 1.7919 -1.4620 2.0163
V 2.1218 1.7919 0.6721
V 1.7919 5.0457 -0.6721
V 1.4620 1.7919 3.3605
Os 3.5837 0.0000 1.3442
Os 0.0000 0.0000 2.6884

***

--- ii ---
! ScV2Os GGA-PBE relaxed; values from VASP
! **Space group**: No. 225
&SYSTEM
  ibrav = 0, nat = 4, ntyp = 3
/
ATOMIC_SPECIES
Sc 44.96 Sc.upf
V 50.94 V.upf
Os 190.23 Os.upf
CELL_PARAMETERS angstrom
0.0000 3.1049 3.1049
3.1049 0.0000 3.1049
3.1049 3.1049 0.0000
ATOMIC_POSITIONS angstrom
Sc 0.0000 0.0000 0.0000
V 1.5525 1.5525 1.5525
V 4.6574 4.6574 4.6574
Os 3.1049 3.1049 3.1049

***

Most stable: ii

***

--- i ---
! ScVOs GGA-PBE relaxed; values from VASP
! **Space group**: No. 156
&SYSTEM
  ibrav = 0, nat = 3, ntyp = 3
/
ATOMIC_SPECIES
Sc 44.96 Sc.upf
V 50.94 V.upf
Os 190.23 Os.upf
CELL_PARAMETERS angstrom
4.3228 0.0000 0.0000
-2.1614 3.7437 0.0000
0.0000 0.0000 2.9365
ATOMIC_POSITIONS angstrom
Sc 0.0000 0.0000 0.0000
V 0.0000 2.4958 1.8171
Os 2.1614 1.2479 1.0729

***

--- ii ---
! ScVOs GGA-PBE relaxed; values from VASP
! **Space group**: No. 63
&SYSTEM
  ibrav = 0, nat = 6, ntyp = 3
/
ATOMIC_SPECIES
Sc 44.96 Sc.upf
V 50.94 V.upf
Os 190.23 Os.upf
CELL_PARAMETERS angstrom
2.0897 -5.0463 0.0000
2.0897 5.0463 0.0000
0.0000 0.0000 4.5876
ATOMIC_POSITIONS angstrom
Sc 2.0897 4.2423 3.4407
Sc 2.0897 -4.2423 1.1469
V 2.0897 2.5652 1.1469
V 2.0897 -2.5652 3.4407
Os 2.0897 1.1853 3.4407
Os 2.0897 -1.1853 1.1469

***

Most stable: ii

***

--- i ---
! ScVOs GGA-PBE relaxed; values from VASP
! **Space group**: No. 107
&SYSTEM
  ibrav = 0, nat = 3, ntyp = 3
/
ATOMIC_SPECIES
Sc 44.96 Sc.upf
V 50.94 V.upf
Os 190.23 Os.upf
CELL_PARAMETERS angstrom
-1.5484 1.5484 5.0156
1.5484 -1.5484 5.0156
1.5484 1.5484 -5.0156
ATOMIC_POSITIONS angstrom
Sc 0.0000 0.0000 0.0000
V 0.0000 0.0000 6.8959
Os 0.0000 0.0000 3.2032

***

--- ii ---
! ScVOs GGA-PBE relaxed; values from VASP
! **Space group**: No. 74
&SYSTEM
  ibrav = 0, nat = 6, ntyp = 3
/
ATOMIC_SPECIES
Sc 44.96 Sc.upf
V 50.94 V.upf
Os 190.23 Os.upf
CELL_PARAMETERS angstrom
-2.5774 2.6701 3.5925
2.5774 -2.6701 3.5925
2.5774 2.6701 -3.5925
ATOMIC_POSITIONS angstrom
Sc 0.0000 1.3350 0.9227
Sc 2.5774 1.3350 2.6698
V 1.2887 1.3350 -1.7962
V 1.2887 -1.3350 1.7962
Os 2.5774 0.0000 0.0000
Os 0.0000 0.0000 3.5925

***

Most stable: ii

***

--- i ---
! ScOsW2 GGA-PBE relaxed; values from VASP
! **Space group**: No. 65
&SYSTEM
  ibrav = 0, nat = 4, ntyp = 3
/
ATOMIC_SPECIES
Sc 44.96 Sc.upf
Os 190.23 Os.upf
W 183.84 W.upf
CELL_PARAMETERS angstrom
2.6381 -4.5127 0.0000
2.6381 4.5127 0.0000
0.0000 0.0000 2.7821
ATOMIC_POSITIONS angstrom
Sc 0.0000 0.0000 0.0000
Os 2.6381 0.0000 0.0000
W 1.3191 2.2563 1.3910
W 1.3191 -2.2563 1.3910

***

--- ii ---
! ScOsW2 GGA-PBE relaxed; values from VASP
! **Space group**: No. 47
&SYSTEM
  ibrav = 0, nat = 4, ntyp = 3
/
ATOMIC_SPECIES
Sc 44.96 Sc.upf
Os 190.23 Os.upf
W 183.84 W.upf
CELL_PARAMETERS angstrom
2.8310 0.0000 0.0000
0.0000 4.4349 0.0000
0.0000 0.0000 5.2902
ATOMIC_POSITIONS angstrom
Sc 0.0000 0.0000 0.0000
Os 0.0000 0.0000 2.6451
W 1.4155 2.2174 1.3322
W 1.4155 2.2174 3.9580

***

Most stable: ii

***

--- i ---
! Sc2OsW GGA-PBE relaxed; values from VASP
! **Space group**: No. 160
&SYSTEM
  ibrav = 0, nat = 4, ntyp = 3
/
ATOMIC_SPECIES
Sc 44.96 Sc.upf
Os 190.23 Os.upf
W 183.84 W.upf
CELL_PARAMETERS angstrom
1.5270 0.8816 9.3776
-1.5270 0.8816 9.3776
0.0000 -1.7632 9.3776
ATOMIC_POSITIONS angstrom
Sc 0.0000 0.0000 0.0000
Sc 0.0000 0.0000 6.4278
Os 0.0000 0.0000 20.9105
W 0.0000 0.0000 13.4899

***

--- ii ---
! Sc2OsW GGA-PBE relaxed; values from VASP
! **Space group**: No. 166
&SYSTEM
  ibrav = 0, nat = 4, ntyp = 3
/
ATOMIC_SPECIES
Sc 44.96 Sc.upf
Os 190.23 Os.upf
W 183.84 W.upf
CELL_PARAMETERS angstrom
1.4760 0.8522 9.7512
-1.4760 0.8522 9.7512
0.0000 -1.7044 9.7512
ATOMIC_POSITIONS angstrom
Sc 0.0000 0.0000 2.7371
Sc 0.0000 0.0000 26.5165
Os 0.0000 0.0000 14.6268
W 0.0000 0.0000 0.0000

***

Most stable: i

***

--- i ---
! Sc2OsW GGA-PBE relaxed; values from VASP
! **Space group**: No. 123
&SYSTEM
  ibrav = 0, nat = 4, ntyp = 3
/
ATOMIC_SPECIES
Sc 44.96 Sc.upf
Os 190.23 Os.upf
W 183.84 W.upf
CELL_PARAMETERS angstrom
3.9486 0.0000 0.0000
0.0000 3.9486 0.0000
0.0000 0.0000 4.5270
ATOMIC_POSITIONS angstrom
Sc 0.0000 1.9743 0.0000
Sc 1.9743 0.0000 0.0000
Os 0.0000 0.0000 2.2635
W 1.9743 1.9743 2.2635

***

--- ii ---
! Sc2OsW GGA-PBE relaxed; values from VASP
! **Space group**: No. 166
&SYSTEM
  ibrav = 0, nat = 4, ntyp = 3
/
ATOMIC_SPECIES
Sc 44.96 Sc.upf
Os 190.23 Os.upf
W 183.84 W.upf
CELL_PARAMETERS angstrom
1.4634 0.8449 9.8066
-1.4634 0.8449 9.8066
0.0000 -1.6898 9.8066
ATOMIC_POSITIONS angstrom
Sc 0.0000 0.0000 2.5073
Sc 0.0000 0.0000 26.9126
Os 0.0000 0.0000 0.0000
W 0.0000 0.0000 14.7100

***

--- iii ---
! Sc2OsW GGA-PBE relaxed; values from VASP
! **Space group**: No. 6
&SYSTEM
  ibrav = 0, nat = 4, ntyp = 3
/
ATOMIC_SPECIES
Sc 44.96 Sc.upf
Os 190.23 Os.upf
W 183.84 W.upf
CELL_PARAMETERS angstrom
2.9779 0.0000 0.0000
0.0000 4.4221 0.0000
-1.2685 0.0000 5.4169
ATOMIC_POSITIONS angstrom
Sc 0.0000 0.0000 0.0000
Sc -0.1210 2.2110 3.9091
Os 0.9202 0.0000 2.5301
W 1.7719 2.2110 1.4292

***

Most stable: iii

***

--- i ---
! Sc3OsW GGA-PBE relaxed; values from VASP
! **Space group**: No. 221
&SYSTEM
  ibrav = 0, nat = 5, ntyp = 3
/
ATOMIC_SPECIES
Sc 44.96 Sc.upf
Os 190.23 Os.upf
W 183.84 W.upf
CELL_PARAMETERS angstrom
4.8760 0.0000 0.0000
0.0000 4.8760 0.0000
0.0000 0.0000 4.8760
ATOMIC_POSITIONS angstrom
Sc 0.0000 0.0000 2.4380
Sc 0.0000 2.4380 0.0000
Sc 2.4380 0.0000 0.0000
Os 2.4380 2.4380 2.4380
W 0.0000 0.0000 0.0000

***

--- ii ---
! Sc3OsW GGA-PBE relaxed; values from VASP
! **Space group**: No. 221
&SYSTEM
  ibrav = 0, nat = 5, ntyp = 3
/
ATOMIC_SPECIES
Sc 44.96 Sc.upf
Os 190.23 Os.upf
W 183.84 W.upf
CELL_PARAMETERS angstrom
4.9454 0.0000 0.0000
0.0000 4.9454 0.0000
0.0000 0.0000 4.9454
ATOMIC_POSITIONS angstrom
Sc 0.0000 0.0000 2.4727
Sc 0.0000 2.4727 0.0000
Sc 2.4727 0.0000 0.0000
Os 0.0000 0.0000 0.0000
W 2.4727 2.4727 2.4727

***

Most stable: ii